Material: Pr3Nd6Dy2Mg
Method: DFT, PBE
State: optimized geometry

```
Pr3Nd6Dy2Mg
1.0
-3.555 2.525 -4.579
4.234 -4.487 -1.385
-8.415 -7.618 3.797
Pr Nd Dy Mg
3 6 2 1
Cartesian
-1.274 -7.125 -0.021
-6.461 -2.455 -2.148
-3.868 -4.790 -1.084
-7.147 -6.082 -2.156
-1.551 -3.333 -3.537
-0.589 -3.498 -0.012
-4.564 -8.407 -1.097
-6.185 -6.247 1.369
-3.172 -1.173 -1.072
1.638 -2.150 -2.450
-0.959 0.188 -3.515
0.000 0.000 0.000
```

Space-group type   C2/m (12)
Uncorrected energy   -53.41 eV for the cell shown
N(E_F)   15.31 states/eV/f.u.

Material: PrNd2Dy6Mg
Method: DFT, PBE
State: optimized geometry

```
PrNd2Dy6Mg
1.0
6.614 -0.738 -0.766
1.604 10.350 -3.395
1.604 -3.776 10.217
Pr Nd Dy Mg
2 4 12 2
Cartesian
3.257 10.053 -3.478
6.564 -4.217 9.534
5.652 5.591 3.481
7.476 2.195 -0.043
4.169 0.245 2.575
2.345 3.640 6.099
1.612 -2.107 7.780
4.903 -1.648 8.256
8.210 7.942 -1.724
4.918 7.483 -2.200
4.007 7.620 1.126
2.508 5.362 -1.217
5.815 -1.784 4.930
7.314 0.473 7.273
2.086 5.308 2.947
4.428 3.456 1.026
7.735 0.528 3.109
5.393 2.379 5.030
3.257 0.164 6.051
6.564 5.671 0.005
```

Space-group type   C2/c (15)
Uncorrected energy   -84.88 eV for the cell shown
N(E_F)   14.48 states/eV/f.u.

Material: NdDy2MgRh4
Method: DFT, PBE
State: optimized geometry

```
NdDy2MgRh4
1.0
4.777 0.000 0.000
2.389 4.137 0.000
2.389 1.379 7.878
Nd Dy Mg Rh
1 2 1 4
Cartesian
0.000 0.000 0.000
7.166 4.137 5.745
2.389 1.379 2.133
4.777 2.758 3.939
4.777 2.758 6.803
7.166 4.137 2.974
2.389 1.379 4.904
4.777 2.758 1.074
```

Space-group type   R-3m (166)
Uncorrected energy   -50.83 eV for the cell shown
N(E_F)   2.98 states/eV/f.u.

Material: NdDyMgRu
Method: DFT, PBE
State: optimized geometry

```
NdDyMgRu
1.0
5.103 0.000 0.000
2.551 4.419 0.000
2.551 1.473 4.167
Ru Mg Nd Dy
1 1 1 1
Cartesian
7.654 4.419 3.125
2.551 1.473 1.042
0.000 0.000 0.000
5.103 2.946 2.083
```

Space-group type   F-43m (216)
Uncorrected energy   -20.73 eV for the cell shown
N(E_F)   3.83 states/eV/f.u.
Energy above the lowest structure with this stoichiometry   0.0870 eV per atom

Material: NdDyMgRu
Method: DFT, PBE
State: optimized geometry

```
NdDyMgRu
1.0
-2.977 -1.273 -1.171
0.180 -2.546 2.311
-4.296 4.838 5.663
Nd Dy Mg Ru
1 1 1 1
Cartesian
-4.703 1.811 4.926
-3.007 -0.099 2.690
-0.343 0.386 0.452
-2.412 2.717 3.180
```

Space-group type   P4mm (99)
Uncorrected energy   -21.08 eV for the cell shown
N(E_F)   3.62 states/eV/f.u.
Energy above the lowest structure with this stoichiometry   0.0000 eV per atom

Material: NdDyMgSc
Method: DFT, PBE
State: optimized geometry

```
NdDyMgSc
1.0
-0.642 3.528 -0.259
-3.027 -0.412 1.893
4.533 1.384 7.549
Nd Dy Mg Sc
1 1 1 1
Cartesian
1.305 1.018 5.240
-0.957 0.328 1.473
-1.692 2.225 4.119
0.631 2.929 7.990
```

Space-group type   P4mm (99)
Uncorrected energy   -17.32 eV for the cell shown
N(E_F)   6.87 states/eV/f.u.
Energy above the lowest structure with this stoichiometry   0.0000 eV per atom

Material: Nd2Dy4MgSc
Method: DFT, PBE
State: optimized geometry

```
Nd2Dy4MgSc
1.0
4.953 0.000 0.000
0.000 4.866 0.984
0.000 2.900 10.719
Nd Dy Mg Sc
2 4 1 1
Cartesian
0.000 2.901 10.718
2.476 6.316 6.344
4.953 5.835 8.739
4.953 1.932 2.964
2.476 4.364 3.461
2.476 3.403 8.242
2.476 5.334 11.210
4.953 3.883 5.852
```

Space-group type   Pmmm (47)
Uncorrected energy   -35.57 eV for the cell shown
N(E_F)   12.77 states/eV/f.u.

Material: NdDyMgSc
Method: DFT, PBE
State: optimized geometry

```
NdDyMgSc
1.0
5.439 0.000 0.000
2.719 4.710 0.000
2.719 1.570 4.441
Sc Mg Nd Dy
1 1 1 1
Cartesian
0.000 0.000 0.000
5.439 3.140 2.220
2.719 1.570 1.110
8.158 4.710 3.330
```

Space-group type   F-43m (216)
Uncorrected energy   -17.21 eV for the cell shown
N(E_F)   4.71 states/eV/f.u.
Energy above the lowest structure with this stoichiometry   0.0258 eV per atom

Material: Nd3Dy3MgSe8
Method: DFT, PBE
State: optimized geometry

```
Nd3Dy3MgSe8
1.0
8.213 0.000 0.000
-4.106 7.113 -0.025
0.000 -4.718 6.841
Nd Dy Mg Se
3 3 1 8
Cartesian
0.000 0.000 0.000
-2.053 3.556 -0.013
2.053 3.556 -0.013
4.106 -2.359 3.420
2.053 1.197 3.408
-2.053 1.197 3.408
0.000 -2.359 3.420
0.000 2.377 1.789
4.106 0.018 5.027
4.106 2.422 1.817
0.000 -0.028 4.999
6.199 -1.201 1.830
-2.092 3.596 4.986
2.014 -1.201 1.830
2.092 3.596 4.986
```

ΔE_f (raw)   -1.774 eV/atom
Space-group type   R-3m (166)
Uncorrected energy   -84.19 eV for the cell shown
N(E_F)   3.10 states/eV/f.u.

Material: NdDyMgSi
Method: DFT, PBE
State: optimized geometry

```
NdDyMgSi
1.0
5.167 0.000 0.000
2.583 4.475 0.000
2.583 1.492 4.219
Si Nd Mg Dy
1 1 1 1
Cartesian
7.750 4.475 3.164
5.167 2.983 2.109
2.583 1.492 1.055
0.000 0.000 0.000
```

ΔE_f (raw)   -0.278 eV/atom
Space-group type   F-43m (216)
Uncorrected energy   -17.50 eV for the cell shown
N(E_F)   3.22 states/eV/f.u.

Material: Nd3Sm2Dy6Mg
Method: DFT, PBE
State: optimized geometry

```
Nd3Sm2Dy6Mg
1.0
-4.013 4.211 -2.098
-0.955 -2.733 5.464
7.742 7.924 4.146
Nd Sm Dy Mg
3 2 6 1
Cartesian
2.408 2.382 6.281
0.366 7.020 1.231
1.387 4.701 3.756
-1.975 -0.416 2.940
-2.992 1.894 0.426
1.586 8.233 4.401
-1.808 3.071 3.552
1.188 1.169 3.111
2.601 5.928 6.910
4.583 6.331 3.960
0.173 3.474 0.602
0.000 0.000 0.000
```

Space-group type   C2/m (12)
Uncorrected energy   -52.64 eV for the cell shown
N(E_F)   17.72 states/eV/f.u.

Material: Nd2Sm6Dy3Mg
Method: DFT, PBE
State: optimized geometry

```
Nd2Sm6Dy3Mg
1.0
6.214 -0.003 -0.003
-3.108 5.381 -0.003
-1.036 -1.793 11.679
Nd Sm Dy Mg
2 6 3 1
Cartesian
-0.003 3.588 -0.003
3.109 1.791 -0.003
3.101 1.808 8.734
2.074 3.592 2.950
-1.031 1.777 2.939
0.016 3.589 8.734
-0.004 -0.007 8.724
2.054 -0.004 2.939
-2.079 3.591 5.837
4.149 -0.006 5.837
1.035 1.792 5.837
0.000 0.000 0.000
```

Space-group type   C2/m (12)
Uncorrected energy   -53.09 eV for the cell shown
N(E_F)   14.52 states/eV/f.u.

Material: Nd6SmDy2Mg
Method: DFT, PBE
State: optimized geometry

```
Nd6SmDy2Mg
1.0
8.874 -1.817 -1.885
1.072 8.745 -2.090
1.072 -2.413 8.661
Nd Sm Dy Mg
12 2 4 2
Cartesian
1.460 -0.851 6.419
5.121 -1.022 6.241
9.558 5.366 -1.733
5.897 5.538 -1.555
3.128 -1.504 3.211
3.453 2.159 7.013
7.890 6.019 1.475
7.565 2.356 -2.327
2.196 4.942 2.537
4.385 3.072 0.596
8.822 -0.427 2.149
6.633 1.444 4.090
3.290 7.970 -2.252
7.728 -3.454 6.938
5.545 4.430 3.425
1.035 2.165 1.075
5.473 0.085 1.261
9.982 2.350 3.611
3.290 1.867 3.629
7.728 2.649 1.057
```

Space-group type   C2/c (15)
Uncorrected energy   -85.95 eV for the cell shown
N(E_F)   14.45 states/eV/f.u.

Material: Nd2SmDyMg
Method: DFT, PBE
State: optimized geometry

```
Nd2SmDyMg
1.0
-2.975 -1.361 6.451
6.400 -3.096 2.299
1.879 5.369 2.000
Nd Sm Dy Mg
4 2 2 2
Cartesian
3.922 0.873 7.606
1.178 2.200 6.621
4.126 -1.288 4.128
1.382 0.039 3.143
-1.384 0.494 4.520
0.288 3.514 3.930
4.165 2.276 3.613
1.139 -1.363 7.136
-2.975 -1.361 6.451
-2.036 1.323 7.450
```

Space-group type   Pmma (51)
Uncorrected energy   -39.29 eV for the cell shown
N(E_F)   6.31 states/eV/f.u.

Material: NdSm2DyMg
Method: DFT, PBE
State: optimized geometry

```
NdSm2DyMg
1.0
5.671 0.000 0.000
0.000 6.112 1.065
0.000 1.549 9.409
Nd Sm Dy Mg
2 4 2 2
Cartesian
4.253 3.116 6.118
1.418 4.545 4.356
4.253 5.822 8.311
1.418 1.839 2.163
1.418 1.044 5.734
4.253 6.616 4.740
1.418 5.091 0.912
4.253 2.569 9.562
4.253 3.850 2.421
1.418 3.810 8.053
```

Space-group type   P2_1/m (11)
Uncorrected energy   -40.63 eV for the cell shown
N(E_F)   7.01 states/eV/f.u.

Material: NdSm2Dy6Mg
Method: DFT, PBE
State: optimized geometry

```
NdSm2Dy6Mg
1.0
6.565 -0.755 -0.783
1.596 10.311 -3.368
1.596 -3.748 10.179
Nd Sm Dy Mg
2 4 12 2
Cartesian
3.237 10.006 -3.452
6.520 -4.197 9.479
5.631 5.595 3.484
7.409 2.157 -0.084
4.126 0.213 2.544
2.348 3.651 6.112
1.603 -2.112 7.750
4.871 -1.638 8.242
8.154 7.920 -1.723
4.886 7.446 -2.215
3.988 7.585 1.128
2.487 5.339 -1.203
5.770 -1.777 4.899
7.270 0.469 7.230
2.074 5.248 2.957
4.401 3.425 1.066
7.684 0.561 3.071
5.356 2.383 4.962
3.237 0.173 6.023
6.520 5.635 0.004
```

Space-group type   C2/c (15)
Uncorrected energy   -84.62 eV for the cell shown
N(E_F)   14.99 states/eV/f.u.

Material: NdSm2Dy2Mg
Method: DFT, PBE
State: optimized geometry

```
NdSm2Dy2Mg
1.0
3.701 0.000 0.000
0.000 5.526 0.000
0.000 0.000 18.945
Nd Sm Dy Mg
2 4 4 2
Cartesian
0.000 0.000 0.000
1.851 2.763 9.472
1.851 0.004 3.541
0.000 2.767 5.931
1.851 5.522 15.404
0.000 2.759 13.014
1.851 0.004 6.965
1.851 5.522 11.980
0.000 2.759 16.437
0.000 2.767 2.507
1.851 2.763 0.000
0.000 0.000 9.472
```

Space-group type   Immm (71)
Uncorrected energy   -48.91 eV for the cell shown
N(E_F)   9.08 states/eV/f.u.

Material: NdSm2Dy4Mg
Method: DFT, PBE
State: optimized geometry

```
NdSm2Dy4Mg
1.0
-2.167 -3.074 -3.260
4.257 -0.260 -2.584
7.161 -8.245 3.015
Nd Sm Dy Mg
1 2 4 1
Cartesian
1.045 -1.667 -2.922
7.161 -8.245 3.015
2.497 -5.660 -0.123
8.550 -6.347 0.302
0.701 -5.233 -3.132
3.912 -3.825 -2.794
5.339 -7.755 -0.035
5.709 -4.253 0.215
```

Space-group type   P4/mmm (123)
Uncorrected energy   -34.01 eV for the cell shown
N(E_F)   11.59 states/eV/f.u.

Material: SrNdDyMg
Method: DFT, PBE
State: optimized geometry

```
SrNdDyMg
1.0
-4.702 1.987 -2.731
-5.223 -2.128 1.308
-3.831 3.277 2.845
Sr Mg Nd Dy
1 1 1 1
Cartesian
-6.878 1.568 0.711
-10.317 2.353 1.067
0.000 0.000 0.000
-3.439 0.784 0.356
```

Space-group type   F-43m (216)
Uncorrected energy   -12.10 eV for the cell shown
N(E_F)   3.22 states/eV/f.u.

Material: Tb2Nd3Dy6Mg
Method: DFT, PBE
State: optimized geometry

```
Tb2Nd3Dy6Mg
1.0
6.176 -0.005 0.010
-3.090 5.347 0.010
-1.056 -1.828 11.584
Tb Nd Dy Mg
2 3 6 1
Cartesian
0.002 3.560 0.010
3.083 1.781 0.010
-2.080 3.544 5.802
4.109 -0.031 5.802
1.015 1.757 5.802
3.066 1.754 8.758
2.050 3.549 2.866
-1.037 1.759 2.845
-0.013 3.532 8.758
-0.021 -0.036 8.737
2.042 -0.019 2.845
0.000 0.000 0.000
```

Space-group type   C2/m (12)
Uncorrected energy   -52.40 eV for the cell shown
N(E_F)   17.60 states/eV/f.u.

Material: Tb2Nd6Dy3Mg
Method: DFT, PBE
State: optimized geometry

```
Tb2Nd6Dy3Mg
1.0
6.245 -0.002 0.003
-3.123 5.408 0.003
-1.049 -1.817 11.628
Tb Nd Dy Mg
2 6 3 1
Cartesian
-0.002 3.606 0.003
3.124 1.800 0.003
3.114 1.799 8.737
2.080 3.602 2.914
-1.041 1.790 2.898
0.002 3.597 8.737
-0.007 -0.013 8.721
2.071 -0.007 2.898
-2.088 3.599 5.817
4.161 -0.010 5.817
1.036 1.795 5.817
0.000 0.000 0.000
```

Space-group type   C2/m (12)
Uncorrected energy   -53.05 eV for the cell shown
N(E_F)   12.78 states/eV/f.u.

Material: Tb3Nd6Dy2Mg
Method: DFT, PBE
State: optimized geometry

```
Tb3Nd6Dy2Mg
1.0
-3.891 1.363 4.698
-2.135 -0.200 -5.871
-0.415 -11.691 1.660
Tb Nd Dy Mg
3 6 2 1
Cartesian
-2.635 -5.785 -3.282
-3.806 -4.743 3.769
-3.220 -5.264 0.243
-5.135 -7.658 2.122
-4.620 -2.041 -0.466
-1.306 -2.870 -1.635
-4.551 -8.177 -1.390
-1.821 -8.487 0.952
-1.890 -2.351 1.876
-2.720 0.321 -2.349
-3.306 0.842 1.175
0.000 0.000 0.000
```

Space-group type   C2/m (12)
Uncorrected energy   -53.06 eV for the cell shown
N(E_F)   12.98 states/eV/f.u.